VASP calculation (GGA-PBE) on a geometry-optimized UFe4P2 structure.

Computed properties:
* E_form: -0.338 eV per atom
* space group: C2/m
* energy above the lowest structure with this stoichiometry: 227 meV/atom

Lattice parameters (Å, degrees): 3.5564 3.6974 7.3030 104.67 86.84 90.01
Last column: magnetic moment on the atom in μB.
Element x y z (fractional)
Fe 0.7679 0.2539 0.5077  0.58
Fe 0.2321 0.7461 0.4923  0.58
Fe 0.3069 0.1273 0.2547  0.47
U 0.0000 0.0000 0.0000  -0.28
P 0.2426 0.3518 0.7035  -0.01
P 0.7574 0.6482 0.2965  -0.01
Fe 0.6931 0.8727 0.7453  0.47